Here is a relaxed structure of Gd3Mg from Alexandria. Energies are from GGA-PBE.

```
4
Lattice="-3.628 -1.120 3.179 1.336 -4.766 -0.154 3.094 0.745 3.794" Properties=species:S:1:pos:R:3 pbc="T T T"
Mg 0.000 0.000 0.000
Gd -0.267 -0.187 3.486
Gd 2.215 -2.010 1.820
Gd -1.146 -2.943 1.513
```

Properties
ΔE_f: -1.6 kJ per mole of atoms
density of states at the Fermi level: 5.805 states/eV/cell

Here is a relaxed structure of BaPrY4S8 from Alexandria. Energies are from GGA-PBE.

```
14
Lattice="-2.580 -0.326 7.843 -2.879 -7.093 3.111 4.525 -4.164 5.668" Properties=species:S:1:pos:R:3 pbc="T T T"
S 0.511 -4.959 11.114
S -2.899 -6.681 9.736
S 0.342 -8.764 8.453
S 1.961 -4.776 6.704
S -1.559 -6.511 5.660
S 0.118 -2.990 4.267
S -1.403 -2.995 8.119
S -0.838 -8.651 12.422
Pr 4.493 -4.156 5.657
Y 0.987 -2.262 6.732
Y 2.261 -2.100 2.860
Y -2.849 -5.157 7.554
Y 0.839 -5.602 4.396
Ba 1.952 -6.437 9.079
```

Properties
uncorrected formation energy: -1.97 eV per atom
density of states at the Fermi level: 3.940 states/eV/cell

Here is a relaxed structure of K3NbPt from Alexandria. Energies are from GGA-PBE.

```
5
Lattice="-2.890 -3.838 3.811 4.808 0.157 3.804 -2.479 4.780 2.935" Properties=species:S:1:pos:R:3 pbc="T T T"
K -1.445 -1.919 1.905
K -1.239 2.390 1.468
K 2.404 0.079 1.902
Pt 0.000 0.000 0.000
Nb -0.281 0.549 5.275
```

Properties
ΔE_f: 106.7 kJ per mole of atoms
energy above the lowest structure with this stoichiometry: 0 kJ/mol of formula units
density of states at the Fermi level: 8.841 states/eV/cell